The following is a DFT calculation (PBE+U) of a relaxed structure of Tb2Tl2MoO6.

volume: 17.89 A^3/atom
total moment: 0.182 μB per atom
E: -6.784 eV per atom

Cell lengths 5.8743, 5.8743, 6.8074 Å; angles 98.15, 98.15, 119.23 degrees
With the nearest neighbours (Å) after each atom.
Sites, in units of the cell vectors:
Tb 0.3354 0.6646 0.5000  6 O 2.30-2.32
Tb 0.6646 0.3354 0.5000  6 O 2.30-2.32
Tl 0.8368 0.1632 0.0000  6 O 2.85-3.10
Tl 0.1632 0.8368 0.0000  6 O 2.85-3.10
Mo 0.0000 0.0000 0.5000  6 O 2.09-2.18
O 0.7418 0.7418 0.6735  1 Mo 2.18, 2 Tb 2.30
O 0.0507 0.3580 0.6603  1 Mo 2.09, 2 Tb 2.31-2.32
O 0.2582 0.2582 0.3265  1 Mo 2.18, 2 Tb 2.30
O 0.3580 0.0507 0.6603  1 Mo 2.09, 2 Tb 2.31-2.32
O 0.9493 0.6420 0.3397  1 Mo 2.09, 2 Tb 2.31-2.32
O 0.6420 0.9493 0.3397  1 Mo 2.09, 2 Tb 2.31-2.32